{"formula": "Ta2CdCo", "functional": "GGA-PBE", "state": "relaxed", "cell": [[2.945, 0.000, 0.000], [0.000, 4.063, 0.000], [-1.466, 0.000, 5.798]], "species": ["Ta", "Ta", "Cd", "Co"], "frac_coords": [[0.000, 0.000, 0.000], [0.373, 0.500, 0.744], [0.640, 0.500, 0.281], [0.793, 0.000, 0.581]], "energy_ev_per_atom": -7.6819, "spacegroup": "Pm"}